No. 1
## Cu2Tc2Te (PBE)

Data for a relaxed structure of Cu2Tc2Te.

The calculation puts the size of the total moment at 0.00 Bohr magnetons per cell. The density of states at the Fermi level comes out at 1.049 states/eV/atom. Its total DFT energy (no corrections) is -5.88 eV/atom.

The space group is I4/mmm (No. 139) and the conventional cell measures 3.4045, 3.4045 and 13.5788 Å, with angles of 90.00, 90.00 and 90.00 degrees. The distinct sites, in fractional coordinates, are Cu at (0.0000, 0.5000, 0.2500), Tc at (0.0000, 0.0000, 0.1026) and Te at (0.0000, 0.0000, 0.5000).

=====

No. 2
## PuPaCu4 (PBE)

Data for a relaxed structure of PuPaCu4.

The calculation puts the size of the total moment at 25.98 Bohr magnetons per cell. As for the energy relative to the lowest polymorph listed for this composition: 29.7 meV per atom. The density of states at the Fermi level comes out at 1.387 states/eV/atom. Its total DFT energy (no corrections) is -6.69 eV/atom. The formation energy comes out at 8 meV per atom.

The space group is F-43m (No. 216) and the conventional cell measures 7.3496, 7.3496 and 7.3496 Å, with angles of 90.00, 90.00 and 90.00 degrees. The distinct sites, in fractional coordinates, are Pu at (0.0000, 0.0000, 0.0000), Pa at (0.2500, 0.2500, 0.2500) and Cu at (0.1243, 0.1243, 0.6243).

=====

No. 3
## Tm2Re3Os (PBE)

Data for a relaxed structure of Tm2Re3Os.

The calculation puts the size of the total moment at 0.00 Bohr magnetons per cell. The density of states at the Fermi level comes out at 0.907 states/eV/atom. Its total DFT energy (no corrections) is -9.86 eV/atom. The formation energy comes out at -275 meV per atom.

The space group is R-3m (No. 166, hexagonal axes) and the conventional cell measures 5.2803, 5.2803 and 13.6063 Å, with angles of 90.00, 90.00 and 120.00 degrees. The distinct sites, in fractional coordinates, are Tm at (0.0000, 0.0000, 0.1259), Re at (0.0000, 0.5000, 0.0000) and Os at (0.0000, 0.0000, 0.5000).

=====

No. 4
## SrAcIN (PBE)

Data for a relaxed structure of SrAcIN.

The calculation puts the size of the total moment at 0.55 Bohr magnetons per cell. The density of states at the Fermi level comes out at 0.420 states/eV/atom. Its total DFT energy (no corrections) is -5.04 eV/atom.

The space group is P3m1 (No. 156) and the conventional cell measures 4.2173, 4.2173 and 8.4037 Å, with angles of 90.00, 90.00 and 120.00 degrees. The distinct sites, in fractional coordinates, are Sr at (0.0000, 0.0000, 0.0000), Ac at (0.3333, 0.6667, 0.6277), I at (0.6667, 0.3333, 0.3005) and N at (0.0000, 0.0000, 0.7110).

=====

No. 5
## NbFeHRh2 (PBE)

Data for a relaxed structure of NbFeHRh2.

The calculation puts the size of the total moment at 0.00 Bohr magnetons per cell. As for the energy relative to the lowest polymorph listed for this composition: 0.0 meV per atom. The density of states at the Fermi level comes out at 0.525 states/eV/atom. Its total DFT energy (no corrections) is -7.58 eV/atom.

The space group is P4/mmm (No. 123) and the conventional cell measures 3.8719, 3.8719 and 3.8801 Å, with angles of 90.00, 90.00 and 90.00 degrees. The distinct sites, in fractional coordinates, are Nb at (0.0000, 0.0000, 0.0000), Fe at (0.5000, 0.5000, 0.0000), H at (0.5000, 0.5000, 0.5000) and Rh at (0.0000, 0.5000, 0.5000).

=====

No. 6
## Ba2LaTe (PBE)

Data for a relaxed structure of Ba2LaTe.

The calculation puts the size of the total moment at 0.00 Bohr magnetons per cell. The density of states at the Fermi level comes out at 1.400 states/eV/atom. Its total DFT energy (no corrections) is -3.44 eV/atom.

The space group is P4/mmm (No. 123) and the conventional cell measures 5.2887, 5.2887 and 5.3470 Å, with angles of 90.00, 90.00 and 90.00 degrees. The distinct sites, in fractional coordinates, are Ba at (0.0000, 0.5000, 0.0000), La at (0.0000, 0.0000, 0.5000) and Te at (0.5000, 0.5000, 0.5000).